Fe10O19F | PBE+U | relaxed

```
Fe10O19F
1.0
4.498 0.000 0.000
0.043 7.466 0.000
0.111 3.017 9.008
Fe O F
10 19 1
direct
0.000 0.000 0.000
0.000 0.398 0.802
0.009 0.796 0.611
0.020 0.196 0.420
0.020 0.611 0.207
0.488 0.296 0.095
0.507 0.098 0.710
0.507 0.500 0.511
0.508 0.699 0.905
0.511 0.903 0.309
0.185 0.236 0.975
0.200 0.851 0.178
0.201 0.634 0.784
0.210 0.441 0.388
0.213 0.031 0.593
0.305 0.336 0.684
0.307 0.739 0.486
0.309 0.936 0.883
0.314 0.538 0.082
0.316 0.143 0.283
0.696 0.261 0.533
0.699 0.661 0.333
0.705 0.860 0.732
0.706 0.062 0.125
0.706 0.460 0.927
0.803 0.161 0.827
0.807 0.760 0.028
0.808 0.562 0.629
0.821 0.960 0.436
0.814 0.361 0.230
```

## Properties
D(E_F)   0.4944 states/eV per atom
Volume   10.1 Å³/atom
Energy relative to the lowest polymorph listed for this composition   0.100 eV per atom
Theoretical density   4.84 Mg/m³
DFT total energy   -6.033 eV/atom
Total magnetic moment   29.55 μB per formula unit